Below is a relaxed structure of CsBeNb, with properties calculated at the PBE level.

The total energy is -4.27 eV/atom. The formation energy comes out at 0.62 eV per atom. The total moment comes out at 0.04 μB per atom. As for the theoretical density: 4.00 Mg/m³.

The structure belongs to space group P1 (No. 1); the cell edges are 3.5846, 4.6529 and 12.8146 Å and the angles 97.74°, 90.38° and 112.64°. The inequivalent atoms are Cs at (0.0000, 0.0000, 0.0000), Cs at (0.3472, 0.7253, 0.3892), Be at (0.2925, 0.5985, 0.7493), Be at (0.6904, 0.3924, 0.7967), Nb at (0.6726, 0.3652, 0.6136) and Nb at (0.9954, 0.0063, 0.7112).